Model 1:
This record from Alexandria via LeMat-Bulk describes crystalline Al2SbN at its relaxed geometry. The functional is GGA-PBE.

Cell lengths 5.306, 5.306, 6.301 Å; angles 65.10, 65.10, 90.00 degrees
Fractional coordinates of all 8 atoms:
Sb 0.750 0.250 0.500
Sb 0.000 0.000 0.000
Al 0.508 0.125 0.250
Al 0.375 0.492 0.750
Al 0.875 0.758 0.750
Al 0.242 0.625 0.250
N 0.500 0.500 0.000
N 0.250 0.750 0.500

## Properties
D(E_F) = 0.0 states/eV per cell
crystal system = tetragonal
SG = No. 122

***

Model 2:
This record from Alexandria via LeMat-Bulk describes crystalline Al2SbN at its relaxed geometry. The functional is GGA-PBE.

Cell lengths 4.551, 4.551, 4.551 Å; angles 60.00, 60.00, 60.00 degrees
Fractional coordinates of all 4 atoms:
Al 0.250 0.250 0.250
Al 0.750 0.750 0.750
N 0.000 0.000 0.000
Sb 0.500 0.500 0.500

## Properties
D(E_F) = 3.0 states/eV per cell
crystal system = cubic
SG = No. 225

***

Tell me which of them is the least stable. Sure, it is model 2.

***

Model 1:
This record from Alexandria via LeMat-Bulk describes crystalline AlSb2N at its relaxed geometry. The functional is GGA-PBE.

Cell lengths 5.554, 5.554, 7.218 Å; angles 67.38, 67.38, 90.00 degrees
Fractional coordinates of all 8 atoms:
Sb 0.560 0.125 0.250
Sb 0.375 0.440 0.750
Sb 0.875 0.810 0.750
Sb 0.190 0.625 0.250
N 0.250 0.750 0.500
N 0.500 0.500 0.000
Al 0.000 0.000 0.000
Al 0.750 0.250 0.500

## Properties
D(E_F) = 0.0 states/eV per cell
crystal system = tetragonal
SG = No. 122

***

Model 2:
This record from Alexandria via LeMat-Bulk describes crystalline AlSb2N at its relaxed geometry. The functional is GGA-PBE.

Cell lengths 4.732, 4.732, 4.732 Å; angles 60.00, 60.00, 60.00 degrees
Fractional coordinates of all 4 atoms:
Al 0.500 0.500 0.500
Sb 0.250 0.250 0.250
Sb 0.750 0.750 0.750
N 0.000 0.000 0.000

## Properties
D(E_F) = 2.1 states/eV per cell
crystal system = cubic
SG = No. 225

***

Tell me which of them is the least stable. Sure, it is model 2.

***

Model 1:
This record from Alexandria via LeMat-Bulk describes crystalline AlSb3N at its relaxed geometry. The functional is GGA-PBE.

Cell lengths 4.755, 4.755, 4.755 Å; angles 90.00, 90.00, 90.00 degrees
Fractional coordinates of all 5 atoms:
Sb 0.000 0.000 0.500
Sb 0.000 0.500 0.000
Sb 0.500 0.000 0.000
N 0.000 0.000 0.000
Al 0.500 0.500 0.500

## Properties
D(E_F) = 3.3 states/eV per cell
crystal system = cubic
SG = No. 221

***

Model 2:
This record from Alexandria via LeMat-Bulk describes crystalline AlSb3N at its relaxed geometry. The functional is GGA-PBE.

Cell lengths 5.297, 5.297, 5.297 Å; angles 90.00, 90.00, 90.00 degrees
Fractional coordinates of all 5 atoms:
N 0.500 0.500 0.500
Sb 0.000 0.500 0.000
Sb 0.000 0.000 0.500
Sb 0.500 0.000 0.000
Al 0.000 0.000 0.000

## Properties
D(E_F) = 2.7 states/eV per cell
crystal system = cubic
SG = No. 221

***

Tell me which of them is the least stable. Sure, it is model 2.

***

Model 1:
This record from Alexandria via LeMat-Bulk describes crystalline AlSbSe2N at its relaxed geometry. The functional is GGA-PBE.

Cell lengths 5.356, 5.356, 3.942 Å; angles 90.00, 90.00, 90.00 degrees
Fractional coordinates of all 5 atoms:
Se 0.500 0.000 0.000
Se 0.000 0.500 0.000
Sb 0.000 0.000 0.000
N 0.000 0.000 0.500
Al 0.500 0.500 0.500

## Properties
D(E_F) = 4.1 states/eV per cell
crystal system = tetragonal
SG = No. 123

***

Model 2:
This record from Alexandria via LeMat-Bulk describes crystalline AlSbSe2N at its relaxed geometry. The functional is GGA-PBE.

Cell lengths 5.173, 5.173, 3.593 Å; angles 90.00, 90.00, 90.00 degrees
Fractional coordinates of all 5 atoms:
Se 0.500 0.000 0.000
Se 0.000 0.500 0.000
Sb 0.500 0.500 0.500
N 0.000 0.000 0.500
Al 0.000 0.000 0.000

## Properties
D(E_F) = 5.1 states/eV per cell
crystal system = tetragonal
SG = No. 123

***

Tell me which of them is the least stable. Sure, it is model 1.

***

Model 1:
This record from Alexandria via LeMat-Bulk describes crystalline ScAl3N at its relaxed geometry. The functional is GGA-PBE.

Cell lengths 5.252, 5.252, 5.252 Å; angles 90.00, 90.00, 90.00 degrees
Fractional coordinates of all 5 atoms:
Al 0.000 0.000 0.500
Al 0.500 0.000 0.000
Al 0.000 0.500 0.000
N 0.500 0.500 0.500
Sc 0.000 0.000 0.000

## Properties
D(E_F) = 6.5 states/eV per cell
crystal system = cubic
SG = No. 221

***

Model 2:
This record from Alexandria via LeMat-Bulk describes crystalline ScAl3N at its relaxed geometry. The functional is GGA-PBE.

Cell lengths 4.223, 4.223, 4.223 Å; angles 90.00, 90.00, 90.00 degrees
Fractional coordinates of all 5 atoms:
Al 0.000 0.500 0.000
Al 0.500 0.000 0.000
Al 0.000 0.000 0.500
N 0.000 0.000 0.000
Sc 0.500 0.500 0.500

## Properties
D(E_F) = 3.0 states/eV per cell
crystal system = cubic
SG = No. 221

***

Tell me which of them is the least stable. Sure, it is model 1.

***

Model 1:
This record from Alexandria via LeMat-Bulk describes crystalline ScAlSeN2 at its relaxed geometry. The functional is GGA-PBE.

Cell lengths 3.753, 3.753, 5.241 Å; angles 90.00, 90.00, 90.00 degrees
Fractional coordinates of all 5 atoms:
N 0.500 0.000 0.000
N 0.000 0.500 0.000
Al 0.000 0.000 0.000
Se 0.000 0.000 0.500
Sc 0.500 0.500 0.500

## Properties
D(E_F) = 1.9 states/eV per cell
crystal system = tetragonal
SG = No. 123

***

Model 2:
This record from Alexandria via LeMat-Bulk describes crystalline ScAlSeN2 at its relaxed geometry. The functional is GGA-PBE.

Cell lengths 3.997, 5.652, 3.997 Å; angles 90.00, 90.00, 90.00 degrees
Fractional coordinates of all 5 atoms:
Al 0.500 0.500 0.500
N 0.500 0.000 0.000
N 0.000 0.000 0.500
Sc 0.000 0.000 0.000
Se 0.000 0.500 0.000

## Properties
D(E_F) = 2.5 states/eV per cell
crystal system = tetragonal
SG = No. 123

***

Tell me which of them is the least stable. Sure, it is model 2.